Fe2GeF (PBE with a Hubbard U, optimized geometry); energy = -17.6 eV/f.u.; SG = No. 225; density = 5.9 g/cm³; DOS(E_F) = 2.28 states/eV/cell; total magnetization = 6.53 μB per formula unit
1.0
0.0000 3.0632 3.0632
3.0632 0.0000 3.0632
3.0632 3.0632 0.0000
Fe Ge F
2 1 1
Cartesian
4.5947 4.5947 4.5947
1.5316 1.5316 1.5316
3.0632 3.0632 3.0632
0.0000 0.0000 0.0000